No. 1
Entry from the Alexandria database: crystalline Nd2AlC at its relaxed geometry (PBE).

Structure (POSCAR):
```
Nd2AlC
1.0
3.6148 0.0000 0.0000
-1.8074 3.1305 0.0000
0.0000 0.0000 28.0489
Nd Al C
6 3 3
Direct
0.0000 0.0000 0.1162
0.0000 0.0000 0.8838
0.3333 0.6667 0.5505
0.3333 0.6667 0.7828
0.6667 0.3333 0.2172
0.6667 0.3333 0.4495
0.0000 0.0000 0.0000
0.3333 0.6667 0.6667
0.6667 0.3333 0.3333
0.0000 0.0000 0.5000
0.3333 0.6667 0.1667
0.6667 0.3333 0.8333
```

Properties
Its calculated formation energy is 0.15 eV per atom.



No. 2
Entry from the Alexandria database: crystalline RbPmZnO3 at its relaxed geometry (PBE).

Structure (POSCAR):
```
RbPmZnO3
1.0
8.0390 0.0000 0.0000
0.0000 3.6430 0.0000
-2.1625 0.0000 8.0550
Rb Pm Zn O
2 2 2 6
Direct
0.1901 0.2500 0.2078
0.8099 0.7500 0.7922
0.3476 0.7500 0.8496
0.6524 0.2500 0.1504
0.0792 0.2500 0.6128
0.9208 0.7500 0.3872
0.1520 0.2500 0.8518
0.1601 0.7500 0.5426
0.4586 0.7500 0.1316
0.5414 0.2500 0.8684
0.8399 0.2500 0.4574
0.8480 0.7500 0.1482
```

Properties
For the formation energy (no corrections), the calculation gives -2.151 eV/atom.



No. 3
Entry from the Alexandria database: crystalline CsKAg2 at its relaxed geometry (PBE).

Structure (POSCAR):
```
CsKAg2
1.0
6.1390 0.0000 0.0000
0.0000 6.1390 0.0000
0.0000 0.0000 4.2679
Cs K Ag
1 1 2
Direct
0.0000 0.0000 0.0000
0.5000 0.5000 0.0000
0.0000 0.5000 0.5000
0.5000 0.0000 0.5000
```

Properties
The energy relative to the lowest polymorph listed for this composition comes out at 0.092 eV per atom. Its calculated formation energy is 0.10 eV per atom.



No. 4
Entry from the Alexandria database: crystalline Mg8In2Cu at its relaxed geometry (PBE).

Structure (POSCAR):
```
Mg8In2Cu
1.0
8.0938 -2.4971 0.0000
8.0938 2.4971 0.0000
-2.6175 0.0000 5.9649
Mg In Cu
8 2 1
Direct
0.9997 0.9997 0.2388
0.0003 0.0003 0.7612
0.1846 0.1846 0.1858
0.3680 0.3680 0.1261
0.3688 0.3688 0.6095
0.6312 0.6312 0.3905
0.6320 0.6320 0.8739
0.8154 0.8154 0.8142
0.1816 0.1816 0.6817
0.8184 0.8184 0.3183
0.5000 0.5000 0.0000
```

Properties
Its calculated formation energy is -0.05 eV per atom.



No. 5
Entry from the Alexandria database: crystalline LiNdCd2 at its relaxed geometry (PBE).

Structure (POSCAR):
```
LiNdCd2
1.0
3.4980 0.0000 0.0000
0.0000 3.4980 0.0000
0.0000 0.0000 7.6842
Li Nd Cd
1 1 2
Direct
0.0000 0.0000 0.0000
0.0000 0.0000 0.5000
0.5000 0.5000 0.2036
0.5000 0.5000 0.7964
```

Properties
The energy relative to the lowest polymorph listed for this composition comes out at 0.020 eV per atom. Its calculated formation energy is -0.26 eV per atom.



No. 6
Entry from the Alexandria database: crystalline ZrSbTe3 at its relaxed geometry (PBE).

Structure (POSCAR):
```
ZrSbTe3
1.0
5.5732 0.0000 0.0000
0.0000 5.5732 0.0000
0.0000 0.0000 5.5732
Zr Sb Te
1 1 3
Direct
0.0000 0.0000 0.0000
0.5000 0.5000 0.5000
0.0000 0.0000 0.5000
0.0000 0.5000 0.0000
0.5000 0.0000 0.0000
```

Properties
For the formation energy (no corrections), the calculation gives 0.083 eV/atom. The energy relative to the lowest polymorph listed for this composition comes out at 0.000 eV per atom.



No. 7
Entry from the Alexandria database: crystalline Zr2IrPt at its relaxed geometry (PBE).

Structure (POSCAR):
```
Zr2IrPt
1.0
6.0425 0.0000 0.0000
0.0000 7.5708 0.0000
0.0000 0.0000 3.1951
Zr Ir Pt
4 2 2
Direct
0.2500 0.2500 0.0000
0.2500 0.7500 0.0000
0.7500 0.2500 0.0000
0.7500 0.7500 0.0000
0.0000 0.0000 0.5000
0.5000 0.5000 0.5000
0.0000 0.5000 0.5000
0.5000 0.0000 0.5000
```

Properties
Its calculated formation energy is -0.84 eV per atom.



No. 8
Entry from the Alexandria database: crystalline MgF3 at its relaxed geometry (PBE).

Structure (POSCAR):
```
MgF3
1.0
3.1199 0.0000 0.0000
0.0000 3.1199 0.0000
0.0000 0.0000 4.7748
Mg F
1 3
Direct
0.0000 0.0000 0.0000
0.0000 0.5000 0.7113
0.5000 0.0000 0.7113
0.5000 0.5000 0.1533
```

Properties
For the formation energy (no corrections), the calculation gives -2.173 eV/atom.



No. 9
Entry from the Alexandria database: crystalline Tl2BiPb3 at its relaxed geometry (PBE).

Structure (POSCAR):
```
Tl2BiPb3
1.0
4.4642 -4.9329 0.0000
4.4642 4.9329 0.0000
-1.6185 0.0000 8.7313
Tl Bi Pb
4 2 6
Direct
0.1258 0.6257 0.8749
0.3743 0.8742 0.6251
0.6257 0.1258 0.3749
0.8742 0.3743 0.1251
0.0832 0.9168 0.2500
0.9168 0.0832 0.7500
0.1653 0.3272 0.5018
0.3272 0.1653 0.0018
0.4119 0.5881 0.2500
0.5881 0.4119 0.7500
0.6728 0.8347 0.9982
0.8347 0.6728 0.4982
```

Properties
The energy relative to the lowest polymorph listed for this composition comes out at 0.000 eV per atom. Its calculated formation energy is 0.01 eV per atom.



No. 10
Entry from the Alexandria database: crystalline Sr2HfGe3Pt4 at its relaxed geometry (PBE).

Structure (POSCAR):
```
Sr2HfGe3Pt4
1.0
4.3479 0.0000 0.0000
0.0000 4.3479 0.0000
0.0000 0.0000 10.9578
Sr Hf Ge Pt
2 1 3 4
Direct
0.0000 0.5000 0.2362
0.5000 0.0000 0.7638
0.0000 0.0000 0.5000
0.0000 0.5000 0.8748
0.5000 0.0000 0.1252
0.5000 0.5000 0.5000
0.0000 0.0000 0.0000
0.0000 0.5000 0.6426
0.5000 0.0000 0.3574
0.5000 0.5000 0.0000
```

Properties
Its calculated formation energy is -0.84 eV per atom.



No. 11
Entry from the Alexandria database: crystalline Tb7CeSm12 at its relaxed geometry (PBE).

Structure (POSCAR):
```
Tb7CeSm12
1.0
-5.7488 5.7488 5.7488
5.7488 -5.7488 5.7488
5.7488 5.7488 -5.7488
Tb Ce Sm
7 1 12
Direct
0.0000 0.0000 0.5000
0.0000 0.5000 0.0000
0.0000 0.5000 0.5000
0.5000 0.0000 0.0000
0.5000 0.0000 0.5000
0.5000 0.5000 0.0000
0.5000 0.5000 0.5000
0.0000 0.0000 0.0000
0.0009 0.2545 0.7464
0.2545 0.2536 0.5081
0.2536 0.5081 0.2545
0.2545 0.7464 0.0009
0.2536 0.9991 0.7455
0.4919 0.7455 0.7464
0.5081 0.2545 0.2536
0.7464 0.0009 0.2545
0.7455 0.2536 0.9991
0.7464 0.4919 0.7455
0.7455 0.7464 0.4919
0.9991 0.7455 0.2536
```

Properties
The energy relative to the lowest polymorph listed for this composition comes out at 0.573 eV per atom. Its calculated formation energy is 0.68 eV per atom.



No. 12
Entry from the Alexandria database: crystalline LiMg2GeH at its relaxed geometry (PBE).

Structure (POSCAR):
```
LiMg2GeH
1.0
5.3881 0.0000 0.0000
0.0000 5.3881 0.0000
0.0000 0.0000 3.5514
Li Mg Ge H
1 2 1 1
Direct
0.0000 0.0000 0.0000
0.0000 0.5000 0.5000
0.5000 0.0000 0.5000
0.5000 0.5000 0.5000
0.5000 0.5000 0.0000
```

Properties
The energy relative to the lowest polymorph listed for this composition comes out at 0.454 eV per atom.



No. 13
Entry from the Alexandria database: crystalline Nd3Y2Tm7 at its relaxed geometry (PBE).

Structure (POSCAR):
```
Nd3Y2Tm7
1.0
5.7872 0.0000 0.0000
0.0000 3.5476 0.0000
-0.9989 0.0000 18.7409
Nd Y Tm
3 2 7
Direct
0.0000 0.0000 0.0000
0.2751 0.5000 0.6319
0.7249 0.5000 0.3681
0.2119 0.0000 0.2910
0.7881 0.0000 0.7090
0.1928 0.5000 0.1422
0.2430 0.0000 0.4616
0.3046 0.0000 0.8258
0.5000 0.5000 0.0000
0.6954 0.0000 0.1742
0.7570 0.0000 0.5384
0.8072 0.5000 0.8578
```

Properties
Its calculated formation energy is 0.09 eV per atom.



No. 14
Entry from the Alexandria database: crystalline PaPdPtRh at its relaxed geometry (PBE).

Structure (POSCAR):
```
PaPdPtRh
1.0
6.6189 0.0000 0.0000
0.0000 6.6189 0.0000
0.0000 0.0000 6.6189
Pa Pd Pt Rh
4 4 4 4
Direct
0.0000 0.0000 0.0000
0.0000 0.5000 0.5000
0.5000 0.0000 0.5000
0.5000 0.5000 0.0000
0.0000 0.0000 0.5000
0.0000 0.5000 0.0000
0.5000 0.0000 0.0000
0.5000 0.5000 0.5000
0.2500 0.2500 0.7500
0.2500 0.7500 0.2500
0.7500 0.2500 0.2500
0.7500 0.7500 0.7500
0.2500 0.2500 0.2500
0.2500 0.7500 0.7500
0.7500 0.2500 0.7500
0.7500 0.7500 0.2500
```

Properties
The energy relative to the lowest polymorph listed for this composition comes out at 0.298 eV per atom. Its calculated formation energy is -0.69 eV per atom.



No. 15
Entry from the Alexandria database: crystalline Mn3W at its relaxed geometry (PBE).

Structure (POSCAR):
```
Mn3W
1.0
8.2257 0.0000 0.0000
-4.1128 7.1237 0.0000
0.0000 0.0000 2.5808
Mn W
9 3
Direct
0.0000 0.5000 0.0000
0.1667 0.3333 0.3333
0.1667 0.8333 0.3333
0.3333 0.1667 0.6667
0.5000 0.0000 0.0000
0.5000 0.5000 0.0000
0.6667 0.8333 0.3333
0.8333 0.1667 0.6667
0.8333 0.6667 0.6667
0.0000 0.0000 0.0000
0.3333 0.6667 0.6667
0.6667 0.3333 0.3333
```

Properties
Its calculated formation energy is 0.17 eV per atom.



No. 16
Entry from the Alexandria database: crystalline Ba2NaMgS at its relaxed geometry (PBE).

Structure (POSCAR):
```
Ba2NaMgS
1.0
6.2292 0.0000 0.0000
0.0000 6.2292 0.0000
0.0000 0.0000 5.3273
Ba Na Mg S
2 1 1 1
Direct
0.0000 0.5000 0.0000
0.5000 0.0000 0.0000
0.0000 0.0000 0.5000
0.5000 0.5000 0.5000
0.0000 0.0000 0.0000
```

Properties
For the formation energy (no corrections), the calculation gives -0.665 eV/atom.



No. 17
Entry from the Alexandria database: crystalline Cd2AsP at its relaxed geometry (PBE).

Structure (POSCAR):
```
Cd2AsP
1.0
3.0793 0.0000 0.0000
0.0000 3.0793 0.0000
0.0000 0.0000 8.6397
Cd As P
2 1 1
Direct
0.0000 0.0000 0.2379
0.0000 0.0000 0.7621
0.5000 0.5000 0.5000
0.5000 0.5000 0.0000
```

Properties
The energy relative to the lowest polymorph listed for this composition comes out at 0.266 eV per atom. Its calculated formation energy is 0.34 eV per atom.



No. 18
Entry from the Alexandria database: crystalline KRbUCl6 at its relaxed geometry (PBE).

Structure (POSCAR):
```
KRbUCl6
1.0
7.7612 0.0000 0.0000
-3.8806 6.7214 0.0000
0.0000 0.0000 13.3206
K Rb U Cl
2 2 2 12
Direct
0.3333 0.6667 0.2500
0.6667 0.3333 0.7500
0.0000 0.0000 0.0000
0.0000 0.0000 0.5000
0.3333 0.6667 0.7500
0.6667 0.3333 0.2500
0.0523 0.3912 0.6364
0.0523 0.6611 0.8636
0.3389 0.3912 0.8636
0.3389 0.9477 0.6364
0.3912 0.0523 0.1364
0.3912 0.3389 0.3636
0.6088 0.6611 0.6364
0.6088 0.9477 0.8636
0.6611 0.0523 0.3636
0.6611 0.6088 0.1364
0.9477 0.3389 0.1364
0.9477 0.6088 0.3636
```

Properties
For the formation energy (no corrections), the calculation gives -1.891 eV/atom.



No. 19
Entry from the Alexandria database: crystalline BeSbTe at its relaxed geometry (PBE).

Structure (POSCAR):
```
BeSbTe
1.0
12.4450 0.0000 0.0000
0.0000 6.9932 0.0000
-0.2646 0.0000 3.9970
Be Sb Te
4 4 4
Direct
0.1946 0.0000 0.1744
0.3054 0.5000 0.8256
0.6946 0.5000 0.1744
0.8054 0.0000 0.8256
0.0000 0.6391 0.5000
0.0000 0.9379 0.0000
0.5000 0.1391 0.5000
0.5000 0.4379 0.0000
0.2411 0.6626 0.3114
0.2589 0.1626 0.6886
0.7411 0.1626 0.3114
0.7589 0.6626 0.6886
```

Properties
For the formation energy (no corrections), the calculation gives -0.047 eV/atom. The energy relative to the lowest polymorph listed for this composition comes out at 0.023 eV per atom.



No. 20
Entry from the Alexandria database: crystalline ZrCuSn2 at its relaxed geometry (PBE).

Structure (POSCAR):
```
ZrCuSn2
1.0
6.9929 0.0000 0.0000
0.0000 6.9929 0.0000
0.0000 0.0000 6.9929
Zr Cu Sn
4 4 8
Direct
0.0000 0.0000 0.0000
0.0000 0.5000 0.5000
0.5000 0.0000 0.5000
0.5000 0.5000 0.0000
0.0000 0.0000 0.5000
0.0000 0.5000 0.0000
0.5000 0.0000 0.0000
0.5000 0.5000 0.5000
0.2500 0.2500 0.2500
0.2500 0.2500 0.7500
0.2500 0.7500 0.2500
0.2500 0.7500 0.7500
0.7500 0.2500 0.2500
0.7500 0.2500 0.7500
0.7500 0.7500 0.2500
0.7500 0.7500 0.7500
```

Properties
Its calculated formation energy is 0.12 eV per atom.



No. 21
Entry from the Alexandria database: crystalline TaMo3 at its relaxed geometry (PBE).

Structure (POSCAR):
```
TaMo3
1.0
4.5328 -4.5086 0.0000
4.5328 4.5086 0.0000
-0.0170 0.0000 6.3952
Ta Mo
4 12
Direct
0.0000 0.0000 0.0000
0.0003 0.0003 0.4964
0.2550 0.2550 0.7505
0.5057 0.5057 0.4952
0.0017 0.5032 0.9992
0.0026 0.5032 0.4971
0.2535 0.2535 0.2473
0.2537 0.7512 0.2462
0.2536 0.7518 0.7487
0.5032 0.0017 0.9992
0.5032 0.0026 0.4971
0.5042 0.5042 0.9985
0.7512 0.2537 0.2462
0.7510 0.7510 0.2461
0.7511 0.7511 0.7490
0.7518 0.2536 0.7487
```

Properties
Its calculated formation energy is -0.11 eV per atom.



No. 22
Entry from the Alexandria database: crystalline Ti3VN at its relaxed geometry (PBE).

Structure (POSCAR):
```
Ti3VN
1.0
4.4244 -3.4617 0.0000
4.4244 3.4617 0.0000
-3.6674 0.0000 4.3658
Ti V N
6 2 2
Direct
0.0463 0.0463 0.2651
0.0572 0.4661 0.7881
0.4661 0.0572 0.7881
0.5339 0.9428 0.2119
0.9428 0.5339 0.2119
0.9537 0.9537 0.7349
0.4471 0.4471 0.6474
0.5529 0.5529 0.3526
0.2556 0.2556 0.1238
0.7444 0.7444 0.8762
```

Properties
For the formation energy (no corrections), the calculation gives -0.541 eV/atom. The energy relative to the lowest polymorph listed for this composition comes out at 0.151 eV per atom.



No. 23
Entry from the Alexandria database: crystalline LaPm7Th3 at its relaxed geometry (PBE).

Structure (POSCAR):
```
LaPm7Th3
1.0
5.9283 -5.1180 0.0000
5.9283 5.1180 0.0000
-0.7572 0.0000 6.3559
La Pm Th
1 7 3
Direct
0.0000 0.0000 0.0000
0.0000 0.0000 0.5000
0.0778 0.4311 0.7610
0.2708 0.2708 0.2893
0.4311 0.0778 0.7610
0.5689 0.9222 0.2390
0.7292 0.7292 0.7107
0.9222 0.5689 0.2390
0.3275 0.6725 0.5000
0.5000 0.5000 0.0000
0.6725 0.3275 0.5000
```

Properties
Its calculated formation energy is 0.24 eV per atom.



No. 24
Entry from the Alexandria database: crystalline ErLu2Se at its relaxed geometry (PBE).

Structure (POSCAR):
```
ErLu2Se
1.0
3.5310 0.0000 0.0000
0.0000 3.5310 0.0000
0.0000 0.0000 8.4093
Er Lu Se
1 2 1
Direct
0.0000 0.0000 0.0000
0.5000 0.5000 0.2890
0.5000 0.5000 0.7110
0.0000 0.0000 0.5000
```

Properties
For the formation energy (no corrections), the calculation gives -0.653 eV/atom. The energy relative to the lowest polymorph listed for this composition comes out at 0.000 eV per atom.